A plane-wave DFT calculation with PBE was carried out for a relaxed Nd3SeN2 crystal.

Its total moment is 0.81 μB/f.u. The value obtained for the distance to the lowest polymorph of the same formula is 206 meV per atom. Its raw formation energy is -1.19 eV/atom. Its crystal system is orthorhombic.

Cell lengths 7.705, 7.705, 5.924 Å; angles 90.00, 90.00, 109.01 degrees
Element x y z (fractional)
Nd (0.089, 0.911, 0.750)
Nd (0.166, 0.382, 0.750)
Nd (0.382, 0.166, 0.250)
Nd (0.618, 0.834, 0.750)
Nd (0.834, 0.618, 0.250)
Nd (0.911, 0.089, 0.250)
Se (0.256, 0.744, 0.250)
Se (0.744, 0.256, 0.750)
N (0.171, 0.171, 0.000)
N (0.171, 0.171, 0.500)
N (0.829, 0.829, 0.000)
N (0.829, 0.829, 0.500)

A plane-wave DFT calculation with PBE was carried out for a relaxed Zn2InSe crystal.

Its total moment is 0.00 μB/f.u. The value obtained for the distance to the lowest polymorph of the same formula is 151 meV per atom. Its raw formation energy is 0.03 eV/atom. Its crystal system is orthorhombic.

Cell lengths 3.792, 4.008, 5.766 Å; angles 90.00, 90.00, 90.00 degrees
Element x y z (fractional)
Zn (0.000, 0.000, 0.000)
Zn (0.500, 0.000, 0.500)
In (0.000, 0.500, 0.500)
Se (0.500, 0.500, 0.000)

A plane-wave DFT calculation with PBE was carried out for a relaxed Tm5BSe4 crystal.

Its total moment is 0.00 μB/f.u. Its raw formation energy is -1.50 eV/atom. Its crystal system is tetragonal.

Cell lengths 6.906, 6.906, 6.906 Å; angles 99.46, 99.46, 132.17 degrees
Element x y z (fractional)
Tm (0.000, 0.000, 0.000)
Tm (0.234, 0.592, 0.825)
Tm (0.408, 0.234, 0.642)
Tm (0.592, 0.766, 0.358)
Tm (0.766, 0.408, 0.175)
B (0.500, 0.500, 0.000)
Se (0.092, 0.305, 0.398)
Se (0.305, 0.908, 0.213)
Se (0.695, 0.092, 0.787)
Se (0.908, 0.695, 0.602)

A plane-wave DFT calculation with PBE was carried out for a relaxed NaCdSe2O6 crystal.

Its total moment is 0.00 μB/f.u. Its raw formation energy is -0.95 eV/atom. Its crystal system is trigonal.

Cell lengths 6.516, 6.516, 6.516 Å; angles 49.83, 49.83, 49.83 degrees
Element x y z (fractional)
Na (0.000, 0.000, 0.000)
Cd (0.500, 0.500, 0.500)
Se (0.282, 0.282, 0.282)
Se (0.718, 0.718, 0.718)
O (0.051, 0.747, 0.467)
O (0.253, 0.533, 0.949)
O (0.467, 0.051, 0.747)
O (0.533, 0.949, 0.253)
O (0.747, 0.467, 0.051)
O (0.949, 0.253, 0.533)

A plane-wave DFT calculation with PBE was carried out for a relaxed Ca2Ac15Sm2 crystal.

For the calculated formation energy, the calculation gives 484 kJ/mol of formula units. Its total moment is 0.00 μB/f.u. Its crystal system is trigonal.

Cell lengths 9.710, 9.710, 9.710 Å; angles 81.19, 81.19, 81.19 degrees
Element x y z (fractional)
Ca (0.174, 0.174, 0.174)
Ca (0.826, 0.826, 0.826)
Ac (0.000, 0.500, 0.500)
Ac (0.142, 0.142, 0.645)
Ac (0.142, 0.645, 0.142)
Ac (0.205, 0.500, 0.795)
Ac (0.205, 0.795, 0.500)
Ac (0.355, 0.858, 0.858)
Ac (0.500, 0.000, 0.500)
Ac (0.500, 0.205, 0.795)
Ac (0.500, 0.500, 0.000)
Ac (0.500, 0.795, 0.205)
Ac (0.645, 0.142, 0.142)
Ac (0.795, 0.205, 0.500)
Ac (0.795, 0.500, 0.205)
Ac (0.858, 0.355, 0.858)
Ac (0.858, 0.858, 0.355)
Sm (0.408, 0.408, 0.408)
Sm (0.592, 0.592, 0.592)

A plane-wave DFT calculation with PBE was carried out for a relaxed In3IrCl crystal.

Its total moment is 0.00 μB/f.u. The value obtained for the distance to the lowest polymorph of the same formula is 170 meV per atom. Its raw formation energy is -0.27 eV/atom. Its crystal system is monoclinic.

Cell lengths 5.268, 8.065, 6.196 Å; angles 90.00, 90.41, 90.00 degrees
Element x y z (fractional)
In (0.003, 0.250, 0.116)
In (0.495, 0.048, 0.733)
In (0.495, 0.452, 0.733)
In (0.505, 0.548, 0.267)
In (0.505, 0.952, 0.267)
In (0.997, 0.750, 0.884)
Ir (0.497, 0.750, 0.924)
Ir (0.503, 0.250, 0.076)
Cl (0.005, 0.250, 0.577)
Cl (0.995, 0.750, 0.423)

A plane-wave DFT calculation with PBE was carried out for a relaxed CsTcBr4 crystal.

Its total moment is 0.00 μB/f.u. Its raw formation energy is -0.80 eV/atom. Its crystal system is monoclinic.

Cell lengths 12.529, 12.529, 5.272 Å; angles 99.23, 99.23, 34.15 degrees
Element x y z (fractional)
Cs (0.196, 0.196, 0.179)
Cs (0.804, 0.804, 0.821)
Tc (0.467, 0.467, 0.330)
Tc (0.533, 0.533, 0.670)
Br (0.164, 0.641, 0.413)
Br (0.280, 0.720, 0.000)
Br (0.295, 0.295, 0.755)
Br (0.359, 0.836, 0.587)
Br (0.641, 0.164, 0.413)
Br (0.705, 0.705, 0.245)
Br (0.720, 0.280, 0.000)
Br (0.836, 0.359, 0.587)